Entry 1:
A geometry-optimized SrLi2RuCl8 structure. Source: the Alexandria database, functional PBE.

The value obtained for the size of the total moment is 2.00 μB/f.u. The energy is -3.824 eV/atom.

The structure belongs to space group P-1 (No. 2); the cell edges are 6.069, 6.210 and 8.230 Å and the angles 89.81°, 89.82° and 83.72°. The inequivalent atoms are Sr at (0.000, 0.000, 0.000), Li at (0.498, 0.499, 0.204), Ru at (0.000, 0.000, 0.500), Cl at (0.214, 0.279, 0.499), Cl at (0.232, 0.823, 0.707), Cl at (0.233, 0.823, 0.293) and Cl at (0.301, 0.328, 0.999).

---

Entry 2:
A geometry-optimized Zr2NiMoPt structure. Source: the Alexandria database, functional PBE.

The value obtained for the size of the total moment is 0.58 μB/f.u. The energy is -6.966 eV/atom. The calculation puts the formation energy at 4.920 eV/f.u.

The structure belongs to space group P4/mmm (No. 123); the cell edges are 4.978, 4.978 and 4.769 Å and the angles 90.00°, 90.00° and 90.00°. The inequivalent atoms are Zr at (0.000, 0.500, 0.000), Ni at (0.000, 0.000, 0.500), Mo at (0.500, 0.500, 0.000) and Pt at (0.500, 0.500, 0.500).

---

Entry 3:
A geometry-optimized TaSbPb2 structure. Source: the Alexandria database, functional PBE.

The value obtained for the size of the total moment is 0.00 μB/f.u. The energy is -5.254 eV/atom.

The structure belongs to space group Cmmm (No. 65); the cell edges are 6.734, 9.398 and 3.179 Å and the angles 90.00°, 90.00° and 90.00°. The inequivalent atoms are Ta at (0.000, 0.000, 0.000), Sb at (0.000, 0.500, 0.000) and Pb at (0.250, 0.250, 0.500).

---

Entry 4:
A geometry-optimized KSiAsSe structure. Source: the Alexandria database, functional PBE.

The value obtained for the size of the total moment is 0.00 μB/f.u. The energy is -4.060 eV/atom. The calculation puts the energy above the most stable polymorph in this dataset at 1.2 kJ per mole of atoms.

The structure belongs to space group P1 (No. 1); the cell edges are 3.813, 4.981 and 7.078 Å and the angles 96.43°, 91.53° and 90.07°. The inequivalent atoms are K at (0.000, 0.000, 0.000), Si at (0.529, 0.484, 0.453), As at (0.038, 0.446, 0.640) and Se at (0.508, 0.523, 0.148).